(1)
Ce2PuTh3P6 after structural relaxation. Source: the Alexandria database, functional PBE-GGA.

The total energy comes out at -8.2293 eV per atom. For the size of the total moment, the calculation gives 12.15 Bohr magnetons per cell.

It has space group C2/m (No. 12), with a = 17.899 Å, b = 4.113 Å, c = 8.201 Å, α = 90.00°, β = 103.08° and γ = 90.00°. The distinct sites, in fractional coordinates, are Ce at (0.166, 0.000, 0.332), Pu at (0.000, 0.500, 0.000), Th at (0.000, 0.500, 0.500), Th at (0.166, 0.000, 0.835), P at (0.001, 0.000, 0.245), P at (0.165, 0.500, 0.085) and P at (0.168, 0.500, 0.582).

---

(2)
CeAl10Zn2 after structural relaxation. Source: the Alexandria database, functional PBE-GGA.

The total energy comes out at -3.6466 eV per atom. For the size of the total moment, the calculation gives 0.00 Bohr magnetons per cell.

It has space group Fmmm (No. 69), with a = 5.380 Å, b = 12.737 Å, c = 13.243 Å, α = 90.00°, β = 90.00° and γ = 90.00°. The distinct sites, in fractional coordinates, are Ce at (0.000, 0.000, 0.000), Al at (0.000, 0.108, 0.389), Al at (0.000, 0.178, 0.177), Al at (0.250, 0.250, 0.000) and Zn at (0.250, 0.000, 0.250).

---

(3)
La3AlZn6Ga2 after structural relaxation. Source: the Alexandria database, functional PBE-GGA.

The total energy comes out at -2.9020 eV per atom. For the size of the total moment, the calculation gives 0.00 Bohr magnetons per cell.

It has space group P-3m1 (No. 164), with a = 6.1778 Å, b = 6.1778 Å, c = 8.2294 Å, α = 90.00°, β = 90.00° and γ = 120.00°. The distinct sites, in fractional coordinates, are La at (0.0000, 0.0000, 0.0000), La at (0.3333, 0.6667, 0.6637), Al at (0.0000, 0.0000, 0.5000), Zn at (0.1895, 0.3790, 0.3082) and Ga at (0.3333, 0.6667, 0.0463).

---

(4)
K2CaOs after structural relaxation. Source: the Alexandria database, functional PBE-GGA.

The total energy comes out at -2.5060 eV per atom. For the size of the total moment, the calculation gives 7.10 Bohr magnetons per cell.

It has space group Fm-3m (No. 225), with a = 8.015 Å, b = 8.015 Å, c = 8.015 Å, α = 90.00°, β = 90.00° and γ = 90.00°. The distinct sites, in fractional coordinates, are K at (0.250, 0.250, 0.250), Ca at (0.000, 0.000, 0.000) and Os at (0.000, 0.000, 0.500).

---

(5)
Cs2Pt2S3 after structural relaxation. Source: the Alexandria database, functional PBE-GGA.

The total energy comes out at -4.3116 eV per atom. For the size of the total moment, the calculation gives 0.00 Bohr magnetons per cell.

It has space group P2_1/c (No. 14), with a = 7.150 Å, b = 7.563 Å, c = 9.495 Å, α = 90.00°, β = 115.93° and γ = 90.00°. The distinct sites, in fractional coordinates, are Cs at (0.196, 0.048, 0.403), Pt at (0.317, 0.506, 0.504), S at (0.000, 0.000, 0.000) and S at (0.394, 0.642, 0.320).

---

(6)
Pm3SeS2 after structural relaxation. Source: the Alexandria database, functional PBE-GGA.

The total energy comes out at -5.9273 eV per atom. For the size of the total moment, the calculation gives 0.00 Bohr magnetons per cell.

It has space group Cmcm (No. 63), with a = 4.175 Å, b = 13.768 Å, c = 10.817 Å, α = 90.00°, β = 90.00° and γ = 90.00°. The distinct sites, in fractional coordinates, are Pm at (0.000, 0.097, 0.250), Pm at (0.000, 0.356, 0.056), Se at (0.000, 0.246, 0.750), S at (0.000, 0.000, 0.000) and S at (0.000, 0.476, 0.250).